Record 1
The following is a DFT calculation (PBE-GGA) of a geometry-optimized Ba2PdPb2 structure.

Summary:
Formation enthalpy at 0 K   -2.69 eV per formula unit
Crystal system   monoclinic
Polymorph energy (0 for the lowest one)   0 meV per atom
DOS(E_F)   0.684 states/eV per atom

```
Ba2PdPb2
1.0
-0.741 -3.827 -3.125
-0.602 -5.780 3.227
-11.438 0.221 -1.554
Pd Ba Pb
2 4 4
direct
0.370 0.925 0.335
0.630 0.075 0.665
0.341 0.651 0.667
0.929 0.256 0.886
0.659 0.349 0.333
0.071 0.744 0.114
0.363 0.155 0.120
0.125 0.194 0.557
0.637 0.845 0.880
0.875 0.806 0.443
```



Record 2
The following is a DFT calculation (PBE-GGA) of a geometry-optimized BaSc2Ta structure.

Summary:
Formation enthalpy at 0 K   2.96 eV per formula unit
Crystal system   tetragonal
Polymorph energy (0 for the lowest one)   396 meV per atom
DOS(E_F)   1.032 states/eV per atom

```
BaSc2Ta
1.0
5.771 0.023 0.000
1.944 5.434 0.000
-3.858 -2.729 3.313
Sc Ba Ta
2 1 1
direct
0.250 0.750 0.500
0.000 0.000 0.000
0.750 0.250 0.500
0.500 0.500 0.000
```



Record 3
The following is a DFT calculation (PBE-GGA) of a geometry-optimized Pr2GePbO6 structure.

Summary:
Energy   -6.971 eV per atom
Crystal system   tetragonal
DOS(E_F)   0.000 states/eV per atom

```
Pr2GePbO6
1.0
-2.547 3.314 3.432
-4.827 -2.335 -1.327
0.669 -3.688 4.057
Ge O Pr Pb
1 6 2 1
direct
0.610 0.000 0.000
0.090 0.500 0.500
0.278 0.000 0.000
0.739 0.775 0.225
0.739 0.225 0.225
0.739 0.225 0.775
0.739 0.775 0.775
0.989 0.500 0.000
0.989 0.000 0.500
0.533 0.500 0.500
```



Record 4
The following is a DFT calculation (PBE-GGA) of a geometry-optimized MnBeAs2 structure.

Summary:
Formation enthalpy at 0 K   1.09 eV per formula unit
Crystal system   tetragonal
Polymorph energy (0 for the lowest one)   306 meV per atom
DOS(E_F)   0.401 states/eV per atom

```
MnBeAs2
1.0
-0.485 0.561 -5.297
3.948 -1.048 -3.453
-2.526 -2.153 4.194
Mn Be As
1 1 2
direct
0.750 0.250 0.500
0.500 0.500 0.000
0.250 0.750 0.500
0.000 0.000 0.000
```



Record 5
The following is a DFT calculation (PBE-GGA) of a geometry-optimized AcPrBr2 structure.

Summary:
Crystal system   trigonal
Polymorph energy (0 for the lowest one)   51 meV per atom
DOS(E_F)   0.698 states/eV per atom

```
AcPrBr2
1.0
3.884 0.000 0.000
1.942 3.364 0.000
1.942 1.121 10.668
Br Ac Pr
2 1 1
direct
0.100 0.100 0.701
0.900 0.900 0.299
0.000 0.000 0.000
0.500 0.500 0.500
```



Record 6
The following is a DFT calculation (PBE-GGA) of a geometry-optimized Ti2NiAsH structure.

Summary:
Energy   -6.445 eV per atom
Crystal system   tetragonal
DOS(E_F)   0.693 states/eV per atom

```
Ti2NiAsH
1.0
-2.557 -0.174 -3.035
-2.918 -0.969 2.515
-0.804 3.637 0.469
H Ni Ti As
1 1 2 1
direct
0.000 0.000 0.000
0.000 0.000 0.500
0.000 0.500 0.000
0.500 0.000 0.000
0.500 0.500 0.500
```



- Look up the DOS(E_F) of the second one.
  1.032 states/eV per atom